Crystalline YTc2Rh at its relaxed geometry, computed with PBE.

Calculated values
spin magnetization = 0.00 μB per formula unit
E_tot = -8.56 eV/atom
ΔE_f = 0.073 eV per atom
mass density = 9.219 g/cm³
energy above the lowest structure with this stoichiometry = 0.111 eV/atom

Unit cell a=10.023 b=2.960 c=4.844 alpha=90.00 beta=103.53 gamma=90.00
Space group C2/m (No. 12)
Inequivalent atoms, fractional coordinates:
Y  0.000  0.000  0.000
Tc  0.228  0.000  0.699
Rh  0.000  0.500  0.500